Entry 1:
# In3FePb (GGA-PBEsol, relaxed)
data_In3FePb
_chemical_formula_sum 'In3 Fe1 Pb1'
_space_group_name_H-M_alt 'P 1'
_space_group_IT_number 1
_cell_length_a 5.6205
_cell_length_b 5.6205
_cell_length_c 5.6205
_cell_angle_alpha 90.00
_cell_angle_beta 90.00
_cell_angle_gamma 90.00
loop_
_space_group_symop_operation_xyz
'x,y,z'
loop_
_atom_site_label
_atom_site_type_symbol
_atom_site_fract_x
_atom_site_fract_y
_atom_site_fract_z
_atom_site_occupancy
Pb1 Pb 0.0000 0.0000 0.0000 1
Fe1 Fe 0.5000 0.5000 0.5000 1
In1 In 0.0000 0.5000 0.0000 1
In2 In 0.0000 0.0000 0.5000 1
In3 In 0.5000 0.0000 0.0000 1
# Crystal system   cubic
# E_form   1.33 eV/atom
# Space group   No. 221


Entry 2:
# RhPb2 (GGA-PBEsol, relaxed)
data_RhPb2
_chemical_formula_sum 'Rh4 Pb8'
_space_group_name_H-M_alt 'P 1'
_space_group_IT_number 1
_cell_length_a 3.4017
_cell_length_b 8.2180
_cell_length_c 9.3703
_cell_angle_alpha 90.00
_cell_angle_beta 90.00
_cell_angle_gamma 90.00
loop_
_space_group_symop_operation_xyz
'x,y,z'
loop_
_atom_site_label
_atom_site_type_symbol
_atom_site_fract_x
_atom_site_fract_y
_atom_site_fract_z
_atom_site_occupancy
Pb1 Pb 0.7500 0.5213 0.6584 1
Pb2 Pb 0.2500 0.9787 0.1584 1
Pb3 Pb 0.7500 0.0213 0.8416 1
Pb4 Pb 0.2500 0.4787 0.3416 1
Pb5 Pb 0.7500 0.3397 0.0552 1
Pb6 Pb 0.2500 0.1603 0.5552 1
Pb7 Pb 0.7500 0.8397 0.4448 1
Pb8 Pb 0.2500 0.6603 0.9448 1
Rh1 Rh 0.7500 0.6818 0.1795 1
Rh2 Rh 0.2500 0.8182 0.6795 1
Rh3 Rh 0.7500 0.1818 0.3205 1
Rh4 Rh 0.2500 0.3182 0.8205 1
# Crystal system   orthorhombic
# E_form   -0.01 eV/atom
# Space group   No. 62


Entry 3:
# SrIn5 (GGA-PBEsol, relaxed)
data_SrIn5
_chemical_formula_sum 'Sr1 In5'
_space_group_name_H-M_alt 'P 1'
_space_group_IT_number 1
_cell_length_a 5.2162
_cell_length_b 6.1368
_cell_length_c 6.1368
_cell_angle_alpha 120.00
_cell_angle_beta 90.00
_cell_angle_gamma 90.00
loop_
_space_group_symop_operation_xyz
'x,y,z'
loop_
_atom_site_label
_atom_site_type_symbol
_atom_site_fract_x
_atom_site_fract_y
_atom_site_fract_z
_atom_site_occupancy
In1 In 0.0000 0.6667 0.3333 1
In2 In 0.0000 0.3333 0.6667 1
In3 In 0.5000 0.5000 0.5000 1
In4 In 0.5000 0.0000 0.5000 1
In5 In 0.5000 0.5000 0.0000 1
Sr1 Sr 0.0000 0.0000 0.0000 1
# Crystal system   hexagonal
# Distance to the lowest polymorph of the same formula   24.3 meV per atom
# E_form   -0.17 eV/atom
# Space group   No. 191


Entry 4:
# Li2CuAu (GGA-PBEsol, relaxed)
data_Li2CuAu
_chemical_formula_sum 'Li4 Cu2 Au2'
_space_group_name_H-M_alt 'P 1'
_space_group_IT_number 1
_cell_length_a 5.0414
_cell_length_b 5.4239
_cell_length_c 5.4239
_cell_angle_alpha 77.53
_cell_angle_beta 62.31
_cell_angle_gamma 62.31
loop_
_space_group_symop_operation_xyz
'x,y,z'
loop_
_atom_site_label
_atom_site_type_symbol
_atom_site_fract_x
_atom_site_fract_y
_atom_site_fract_z
_atom_site_occupancy
Au1 Au 0.7500 0.5000 0.5000 1
Au2 Au 0.0000 0.0000 0.0000 1
Cu1 Cu 0.2500 0.5000 0.5000 1
Cu2 Cu 0.5000 0.0000 0.0000 1
Li1 Li 0.1363 0.9887 0.4887 1
Li2 Li 0.6137 0.0113 0.5113 1
Li3 Li 0.3750 0.4887 0.0113 1
Li4 Li 0.8750 0.5113 0.9887 1
# Crystal system   tetragonal
# E_form   -0.08 eV/atom
# Space group   No. 122


Entry 5:
# InCoHg2W (GGA-PBEsol, relaxed)
data_InCoHg2W
_chemical_formula_sum 'In1 Co1 Hg2 W1'
_space_group_name_H-M_alt 'P 1'
_space_group_IT_number 1
_cell_length_a 4.3370
_cell_length_b 5.3329
_cell_length_c 5.3329
_cell_angle_alpha 90.00
_cell_angle_beta 90.00
_cell_angle_gamma 90.00
loop_
_space_group_symop_operation_xyz
'x,y,z'
loop_
_atom_site_label
_atom_site_type_symbol
_atom_site_fract_x
_atom_site_fract_y
_atom_site_fract_z
_atom_site_occupancy
Co1 Co 0.5000 0.0000 0.0000 1
Hg1 Hg 0.0000 0.0000 0.5000 1
Hg2 Hg 0.0000 0.5000 0.0000 1
W1 W 0.0000 0.0000 0.0000 1
In1 In 0.5000 0.5000 0.5000 1
# Crystal system   tetragonal
# E_form   1.20 eV/atom
# Space group   No. 123


Entry 6:
# Al2Pt3 (GGA-PBEsol, relaxed)
data_Al2Pt3
_chemical_formula_sum 'Al2 Pt3'
_space_group_name_H-M_alt 'P 1'
_space_group_IT_number 1
_cell_length_a 4.1423
_cell_length_b 4.1423
_cell_length_c 5.1551
_cell_angle_alpha 90.00
_cell_angle_beta 90.00
_cell_angle_gamma 120.00
loop_
_space_group_symop_operation_xyz
'x,y,z'
loop_
_atom_site_label
_atom_site_type_symbol
_atom_site_fract_x
_atom_site_fract_y
_atom_site_fract_z
_atom_site_occupancy
Al1 Al 0.3333 0.6667 0.8161 1
Al2 Al 0.6667 0.3333 0.1839 1
Pt1 Pt 0.0000 0.0000 0.0000 1
Pt2 Pt 0.3333 0.6667 0.3321 1
Pt3 Pt 0.6667 0.3333 0.6679 1
# Crystal system   trigonal
# E_form   -0.83 eV/atom
# Space group   No. 164


Entry 7:
# TcBi2SbMo (GGA-PBEsol, relaxed)
data_TcBi2SbMo
_chemical_formula_sum 'Tc1 Bi2 Sb1 Mo1'
_space_group_name_H-M_alt 'P 1'
_space_group_IT_number 1
_cell_length_a 5.0237
_cell_length_b 5.2369
_cell_length_c 5.2369
_cell_angle_alpha 90.00
_cell_angle_beta 90.00
_cell_angle_gamma 90.00
loop_
_space_group_symop_operation_xyz
'x,y,z'
loop_
_atom_site_label
_atom_site_type_symbol
_atom_site_fract_x
_atom_site_fract_y
_atom_site_fract_z
_atom_site_occupancy
Sb1 Sb 0.5000 0.0000 0.0000 1
Mo1 Mo 0.5000 0.5000 0.5000 1
Bi1 Bi 0.0000 0.0000 0.5000 1
Bi2 Bi 0.0000 0.5000 0.0000 1
Tc1 Tc 0.0000 0.0000 0.0000 1
# Crystal system   tetragonal
# Raw formation energy   6.5 eV/f.u.
# Space group   No. 123


Entry 8:
# CdSnAs2 (GGA-PBEsol, relaxed)
data_CdSnAs2
_chemical_formula_sum 'Cd1 Sn1 As2'
_space_group_name_H-M_alt 'P 1'
_space_group_IT_number 1
_cell_length_a 4.2641
_cell_length_b 4.2641
_cell_length_c 6.1387
_cell_angle_alpha 90.00
_cell_angle_beta 90.00
_cell_angle_gamma 90.00
loop_
_space_group_symop_operation_xyz
'x,y,z'
loop_
_atom_site_label
_atom_site_type_symbol
_atom_site_fract_x
_atom_site_fract_y
_atom_site_fract_z
_atom_site_occupancy
As1 As 0.0000 0.5000 0.2456 1
As2 As 0.5000 0.0000 0.7544 1
Sn1 Sn 0.5000 0.5000 0.5000 1
Cd1 Cd 0.0000 0.0000 0.0000 1
# Crystal system   tetragonal
# Distance to the lowest polymorph of the same formula   21.8 meV per atom
# E_form   -0.06 eV/atom
# Space group   No. 115


What did the second record say?
# RhPb2 (GGA-PBEsol, relaxed)
data_RhPb2
_chemical_formula_sum 'Rh4 Pb8'
_space_group_name_H-M_alt 'P 1'
_space_group_IT_number 1
_cell_length_a 3.4017
_cell_length_b 8.2180
_cell_length_c 9.3703
_cell_angle_alpha 90.00
_cell_angle_beta 90.00
_cell_angle_gamma 90.00
loop_
_space_group_symop_operation_xyz
'x,y,z'
loop_
_atom_site_label
_atom_site_type_symbol
_atom_site_fract_x
_atom_site_fract_y
_atom_site_fract_z
_atom_site_occupancy
Pb1 Pb 0.7500 0.5213 0.6584 1
Pb2 Pb 0.2500 0.9787 0.1584 1
Pb3 Pb 0.7500 0.0213 0.8416 1
Pb4 Pb 0.2500 0.4787 0.3416 1
Pb5 Pb 0.7500 0.3397 0.0552 1
Pb6 Pb 0.2500 0.1603 0.5552 1
Pb7 Pb 0.7500 0.8397 0.4448 1
Pb8 Pb 0.2500 0.6603 0.9448 1
Rh1 Rh 0.7500 0.6818 0.1795 1
Rh2 Rh 0.2500 0.8182 0.6795 1
Rh3 Rh 0.7500 0.1818 0.3205 1
Rh4 Rh 0.2500 0.3182 0.8205 1
# Crystal system   orthorhombic
# E_form   -0.01 eV/atom
# Space group   No. 62